A plane-wave DFT calculation with PBE was carried out for Ca2MgNbO6 after structural relaxation.

Cell: 5.5178 5.7126 7.8559 Å, 90.00 90.85 90.00°
Last column: magnetic moment on the atom in μB.
Sites, in units of the cell vectors:
Ca1 0.0162 0.9447 0.2454  0.00
Ca2 0.5162 0.5553 0.7454  0.00
Ca3 0.9838 0.0553 0.7546  0.00
Ca4 0.4838 0.4447 0.2546  0.00
Mg1 0.5000 0.0000 0.5000  0.00
Mg2 0.0000 0.5000 0.0000  0.00
Nb1 0.5000 0.0000 0.0000  -0.06
Nb2 0.0000 0.5000 0.5000  -0.06
O1 0.3035 0.7130 0.0561  0.17
O2 0.8035 0.7870 0.5561  0.17
O3 0.6965 0.2870 0.9439  0.17
O4 0.1965 0.2130 0.4439  0.17
O5 0.2919 0.6998 0.4516  0.14
O6 0.7919 0.8002 0.9516  0.14
O7 0.7081 0.3002 0.5484  0.14
O8 0.2081 0.1998 0.0484  0.14
O9 0.8991 0.5342 0.2544  0.17
O10 0.3991 0.9658 0.7544  0.17
O11 0.1009 0.4658 0.7456  0.17
O12 0.6009 0.0342 0.2456  0.17

Summary:
**Energy relative to the elements, uncorrected**: -2.64 eV per atom
**Density**: 3.935 g/cm³
**Uncorrected energy**: -7.179 eV per atom

---

A plane-wave DFT calculation with PBE was carried out for CrPdS2 after structural relaxation.

Cell: 5.3806 5.3806 6.5057 Å, 65.57 65.57 90.00°
Last column: magnetic moment on the atom in μB.
Sites, in units of the cell vectors:
Cr1 0.5000 0.5000 0.0000  2.40
Cr2 0.2500 0.7500 0.5000  2.39
S1 0.5987 0.1250 0.2500  -0.14
S2 0.1513 0.6250 0.2500  -0.14
S3 0.3750 0.4013 0.7500  -0.14
S4 0.8750 0.8487 0.7500  -0.14
Pd1 0.0000 0.0000 0.0000  -0.27
Pd2 0.7500 0.2500 0.5000  -0.27

Summary:
**Energy relative to the elements, uncorrected**: -0.36 eV per atom
**Density**: 4.838 g/cm³
**Uncorrected energy**: -6.130 eV per atom